Entry 1:
Crystalline ZrScPd2 at its relaxed geometry. Source: Alexandria, functional GGA-PBE.

Cell and atoms, written as CIF:
```
data_ZrScPd2
_chemical_formula_sum 'Zr1 Sc1 Pd2'
_cell_length_a 3.203
_cell_length_b 3.203
_cell_length_c 7.163
_cell_angle_alpha 90.00
_cell_angle_beta 90.00
_cell_angle_gamma 90.00
_symmetry_space_group_name_H-M 'P 4/m m m'
_symmetry_Int_Tables_number 123
_symmetry_space_group_name_Hall '-P 4 2'
loop_
_atom_site_label
_atom_site_type_symbol
_atom_site_fract_x
_atom_site_fract_y
_atom_site_fract_z
Zr1 Zr 0.000 0.000 0.000
Sc1 Sc 0.000 0.000 0.500
Pd1 Pd 0.500 0.500 0.265
```

Output
ΔH_f (0 K) (eV/f.u.): -2.951
Total moment (μB per formula unit): 0.00


Entry 2:
Crystalline ZrSc4Pd5 at its relaxed geometry. Source: Alexandria, functional GGA-PBE.

Cell and atoms, written as CIF:
```
data_ZrSc4Pd5
_chemical_formula_sum 'Zr1 Sc4 Pd5'
_cell_length_a 3.249
_cell_length_b 3.249
_cell_length_c 17.254
_cell_angle_alpha 90.00
_cell_angle_beta 90.00
_cell_angle_gamma 90.00
_symmetry_space_group_name_H-M 'P 4/m m m'
_symmetry_Int_Tables_number 123
_symmetry_space_group_name_Hall '-P 4 2'
loop_
_atom_site_label
_atom_site_type_symbol
_atom_site_fract_x
_atom_site_fract_y
_atom_site_fract_z
Zr1 Zr 0.000 0.000 0.000
Sc1 Sc 0.000 0.000 0.204
Sc2 Sc 0.000 0.000 0.401
Pd1 Pd 0.500 0.500 0.108
Pd2 Pd 0.500 0.500 0.303
Pd3 Pd 0.500 0.500 0.500
```

Output
ΔH_f (0 K) (eV/f.u.): -8.323
Total moment (μB per formula unit): 0.00


Entry 3:
Crystalline ZrScPd at its relaxed geometry. Source: Alexandria, functional GGA-PBE.

Cell and atoms, written as CIF:
```
data_ZrScPd
_chemical_formula_sum 'Zr3 Sc3 Pd3'
_cell_length_a 6.7536
_cell_length_b 6.7536
_cell_length_c 4.6661
_cell_angle_alpha 90.00
_cell_angle_beta 90.00
_cell_angle_gamma 120.00
_symmetry_space_group_name_H-M 'P -6 2 m'
_symmetry_Int_Tables_number 189
_symmetry_space_group_name_Hall 'P -6 -2'
loop_
_atom_site_label
_atom_site_type_symbol
_atom_site_fract_x
_atom_site_fract_y
_atom_site_fract_z
Zr1 Zr 0.0000 0.4707 0.0000
Sc1 Sc 0.0000 0.0000 0.0000
Sc2 Sc 0.3333 0.6667 0.5000
Pd1 Pd 0.0000 0.7550 0.5000
```

Output
ΔH_f (0 K) (eV/f.u.): -0.951
Total moment (μB per formula unit): 0.00
Excess energy over the best structure of this formula in the dataset (eV per formula unit): 0.72


Entry 4:
Crystalline Zr5ScPd6 at its relaxed geometry. Source: Alexandria, functional GGA-PBE.

Cell and atoms, written as CIF:
```
data_Zr5ScPd6
_chemical_formula_sum 'Zr10 Sc2 Pd12'
_cell_length_a 14.108
_cell_length_b 7.127
_cell_length_c 4.643
_cell_angle_alpha 90.00
_cell_angle_beta 106.45
_cell_angle_gamma 90.00
_symmetry_space_group_name_H-M 'C 1 2/m 1'
_symmetry_Int_Tables_number 12
_symmetry_space_group_name_Hall '-C 2y'
loop_
_atom_site_label
_atom_site_type_symbol
_atom_site_fract_x
_atom_site_fract_y
_atom_site_fract_z
Zr1 Zr 0.000 0.000 0.000
Zr2 Zr 0.148 0.000 0.661
Zr3 Zr 0.182 0.500 0.672
Sc1 Sc 0.000 0.500 0.000
Pd1 Pd 0.000 0.288 0.500
Pd2 Pd 0.168 0.275 0.162
```

Output
ΔH_f (0 K) (eV/f.u.): -7.791
Total moment (μB per formula unit): 0.00


Entry 5:
Crystalline ZrScPd4 at its relaxed geometry. Source: Alexandria, functional GGA-PBE.

Cell and atoms, written as CIF:
```
data_ZrScPd4
_chemical_formula_sum 'Zr4 Sc4 Pd16'
_cell_length_a 4.146
_cell_length_b 12.572
_cell_length_c 7.861
_cell_angle_alpha 90.00
_cell_angle_beta 90.00
_cell_angle_gamma 90.00
_symmetry_space_group_name_H-M 'C m c m'
_symmetry_Int_Tables_number 63
_symmetry_space_group_name_Hall '-C 2c 2'
loop_
_atom_site_label
_atom_site_type_symbol
_atom_site_fract_x
_atom_site_fract_y
_atom_site_fract_z
Zr1 Zr 0.000 0.016 0.250
Sc1 Sc 0.000 0.312 0.250
Pd1 Pd 0.000 0.162 0.517
Pd2 Pd 0.000 0.338 0.750
Pd3 Pd 0.000 0.500 0.000
```

Output
ΔH_f (0 K) (eV/f.u.): -4.739
Total moment (μB per formula unit): 0.00


Entry 6:
Crystalline ZrSc2Pd6 at its relaxed geometry. Source: Alexandria, functional GGA-PBE.

Cell and atoms, written as CIF:
```
data_ZrSc2Pd6
_chemical_formula_sum 'Zr1 Sc2 Pd6'
_cell_length_a 7.6459
_cell_length_b 7.6459
_cell_length_c 3.0702
_cell_angle_alpha 90.00
_cell_angle_beta 90.00
_cell_angle_gamma 120.00
_symmetry_space_group_name_H-M 'P -6 2 m'
_symmetry_Int_Tables_number 189
_symmetry_space_group_name_Hall 'P -6 -2'
loop_
_atom_site_label
_atom_site_type_symbol
_atom_site_fract_x
_atom_site_fract_y
_atom_site_fract_z
Zr1 Zr 0.0000 0.0000 0.0000
Sc1 Sc 0.3333 0.6667 0.5000
Pd1 Pd 0.0000 0.2995 0.5000
Pd2 Pd 0.0000 0.6339 0.0000
```

Output
ΔH_f (0 K) (eV/f.u.): -6.207
Total moment (μB per formula unit): 0.00